Version one
A plane-wave DFT calculation with PBE was carried out for an optimized crystal structure of PmTh3Te4.

Structure (POSCAR):
```
PmTh3Te4
1.0
4.4686 0.0000 0.0000
0.0000 4.4686 0.0000
0.0000 0.0000 12.6094
Pm Th Te
1 3 4
Direct
0.0000 0.0000 0.0000
0.0000 0.0000 0.5000
0.5000 0.5000 0.2518
0.5000 0.5000 0.7482
0.0000 0.0000 0.2483
0.0000 0.0000 0.7517
0.5000 0.5000 0.0000
0.5000 0.5000 0.5000
```

Version two
A plane-wave DFT calculation with PBE was carried out for an optimized crystal structure of PmTh3Te4.

Structure (POSCAR):
```
PmTh3Te4
1.0
4.3797 -6.3110 0.0000
4.3797 6.3110 0.0000
0.0000 0.0000 4.5544
Pm Th Te
1 3 4
Direct
0.0000 0.0000 0.0000
0.0000 0.5000 0.5000
0.5000 0.0000 0.5000
0.5000 0.5000 0.0000
0.2470 0.2470 0.5000
0.2484 0.7516 0.0000
0.7516 0.2484 0.0000
0.7530 0.7530 0.5000
```

Most stable pick: version one. Distance to second place: 8 meV per atom.

Version one
A plane-wave DFT calculation with PBE was carried out for an optimized crystal structure of PmTh2Te5.

Structure (POSCAR):
```
PmTh2Te5
1.0
8.8862 0.0000 0.0000
0.0000 13.8536 0.0000
0.0000 0.0000 4.2883
Pm Th Te
2 4 10
Direct
0.0000 0.0000 0.0000
0.5000 0.5000 0.0000
0.0189 0.3210 0.5000
0.4811 0.8210 0.5000
0.5189 0.1790 0.5000
0.9811 0.6790 0.5000
0.0000 0.5000 0.0000
0.1735 0.1122 0.5000
0.1878 0.8067 0.0000
0.3122 0.3067 0.0000
0.3265 0.6122 0.5000
0.5000 0.0000 0.0000
0.6735 0.3878 0.5000
0.6878 0.6933 0.0000
0.8122 0.1933 0.0000
0.8265 0.8878 0.5000
```

Version two
A plane-wave DFT calculation with PBE was carried out for an optimized crystal structure of PmTh2Te5.

Structure (POSCAR):
```
PmTh2Te5
1.0
-4.1696 4.1696 7.2808
4.1696 -4.1696 7.2808
4.1696 4.1696 -7.2808
Pm Th Te
2 4 10
Direct
0.2500 0.2500 0.0000
0.7500 0.7500 0.0000
0.1476 0.6476 0.7952
0.3524 0.1476 0.5000
0.6476 0.8524 0.5000
0.8524 0.3524 0.2048
0.0000 0.0000 0.0000
0.0102 0.1918 0.5000
0.1918 0.6918 0.1816
0.3082 0.4898 0.5000
0.4898 0.9898 0.1816
0.5000 0.5000 0.0000
0.5102 0.0102 0.8184
0.6918 0.5102 0.5000
0.8082 0.3082 0.8184
0.9898 0.8082 0.5000
```

Most stable pick: version two. Distance to second place: 9 meV per atom.